(1)
VASP calculation (PBE) on crystalline YHgSe2Br at its relaxed geometry.

Lattice parameters (Å, degrees): 5.563 5.563 5.516 90.00 90.00 90.00
Fractional positions:
Y: 0.000 0.000 0.000
Hg: 0.500 0.500 0.500
Se: 0.000 0.500 0.000
Se: 0.500 0.000 0.000
Br: 0.000 0.000 0.500

Summary:
relative energy among the computed polymorphs: 0.00 kJ/mol of atoms
total energy: -3.746 eV/atom
E_form (uncorrected): -0.664 eV/atom
volume: 34.1 Å³/atom



(2)
VASP calculation (PBE) on crystalline ScSiHg2 at its relaxed geometry.

Lattice parameters (Å, degrees): 3.339 3.339 7.657 90.00 90.00 99.59
Fractional positions:
Sc: 0.000 0.000 0.000
Si: 0.500 0.500 0.794
Hg: 0.000 0.000 0.556
Hg: 0.500 0.500 0.270

Summary:
total energy: -3.141 eV/atom
E_form (uncorrected): -0.051 eV/atom
volume: 21.0 Å³/atom